# CeZn6Pd6 PBE-GGA optimized geometry
data_CeZn6Pd6
_space_group_name_H-M_alt 'P 1'
_space_group_IT_number 1
_cell_length_a 5.2554
_cell_length_b 6.7877
_cell_length_c 6.7877
_cell_angle_alpha 81.33
_cell_angle_beta 67.22
_cell_angle_gamma 67.22
loop_
_space_group_symop_operation_xyz
'x,y,z'
loop_
_atom_site_label
_atom_site_type_symbol
_atom_site_fract_x
_atom_site_fract_y
_atom_site_fract_z
Zn1 Zn 0.0000 0.5000 0.0000
Zn2 Zn 0.5000 0.2414 0.7586
Zn3 Zn 0.5000 0.5000 0.0000
Zn4 Zn 0.0000 0.0000 0.5000
Zn5 Zn 0.5000 0.0000 0.5000
Zn6 Zn 0.5000 0.7586 0.2414
Pd1 Pd 0.6609 0.3391 0.3391
Pd2 Pd 0.0000 0.6576 0.3424
Pd3 Pd 0.3145 0.1855 0.1855
Pd4 Pd 0.6855 0.8145 0.8145
Pd5 Pd 0.0000 0.3424 0.6576
Pd6 Pd 0.3391 0.6609 0.6609
Ce1 Ce 0.0000 0.0000 0.0000
# E_form ... -525.8 meV per atom
# SG ... Immm, No. 71

=====

# CsAlBi PBE-GGA optimized geometry
data_CsAlBi
_space_group_name_H-M_alt 'P 1'
_space_group_IT_number 1
_cell_length_a 4.5611
_cell_length_b 12.4449
_cell_length_c 8.9327
_cell_angle_alpha 90.00
_cell_angle_beta 90.00
_cell_angle_gamma 90.00
loop_
_space_group_symop_operation_xyz
'x,y,z'
loop_
_atom_site_label
_atom_site_type_symbol
_atom_site_fract_x
_atom_site_fract_y
_atom_site_fract_z
Bi1 Bi 0.2500 0.9407 0.2957
Bi2 Bi 0.7500 0.4407 0.2043
Bi3 Bi 0.2500 0.5593 0.7957
Bi4 Bi 0.7500 0.0593 0.7043
Cs1 Cs 0.7500 0.7988 0.9773
Cs2 Cs 0.2500 0.2988 0.5227
Cs3 Cs 0.7500 0.7012 0.4773
Cs4 Cs 0.2500 0.2012 0.0227
Al1 Al 0.2500 0.9379 0.6139
Al2 Al 0.2500 0.5621 0.1139
Al3 Al 0.7500 0.4379 0.8861
Al4 Al 0.7500 0.0621 0.3861
# E_form ... -122.8 meV per atom
# SG ... Pnma, No. 62

=====

Question: E_form of number 1 (CeZn6Pd6)?
Answer: -525.8 meV per atom